*a*
PIrOF2 after structural relaxation. Source: Alexandria via LeMat-Bulk, functional PBE.

Cell and atoms, written as CIF:
```
data_PIrOF2
_cell_length_a 4.4515
_cell_length_b 4.4515
_cell_length_c 3.7050
_cell_angle_alpha 90.00
_cell_angle_beta 90.00
_cell_angle_gamma 90.00
_symmetry_space_group_name_H-M 'P 4/m m m'
_symmetry_Int_Tables_number 123
_symmetry_space_group_name_Hall '-P 4 2'
loop_
_atom_site_label
_atom_site_type_symbol
_atom_site_fract_x
_atom_site_fract_y
_atom_site_fract_z
_atom_site_occupancy
P1 P 0.0000 0.0000 0.0000 1
Ir1 Ir 0.5000 0.5000 0.5000 1
O1 O 0.5000 0.5000 0.0000 1
F1 F 0.0000 0.5000 0.5000 1
```

=====

*b*
PIrOF2 after structural relaxation. Source: Alexandria via LeMat-Bulk, functional PBE.

Cell and atoms, written as CIF:
```
data_PIrOF2
_cell_length_a 4.4874
_cell_length_b 4.4874
_cell_length_c 3.3670
_cell_angle_alpha 90.00
_cell_angle_beta 90.00
_cell_angle_gamma 90.00
_symmetry_space_group_name_H-M 'P 4/m m m'
_symmetry_Int_Tables_number 123
_symmetry_space_group_name_Hall '-P 4 2'
loop_
_atom_site_label
_atom_site_type_symbol
_atom_site_fract_x
_atom_site_fract_y
_atom_site_fract_z
_atom_site_occupancy
P1 P 0.0000 0.0000 0.0000 1
Ir1 Ir 0.5000 0.5000 0.5000 1
O1 O 0.0000 0.0000 0.5000 1
F1 F 0.0000 0.5000 0.0000 1
```

=====

*a* takes first place; second place is 0.096 eV/atom up.

=====

*a*
IrPbOF2 after structural relaxation. Source: Alexandria via LeMat-Bulk, functional PBE.

Cell and atoms, written as CIF:
```
data_IrPbOF2
_cell_length_a 4.5634
_cell_length_b 4.5634
_cell_length_c 4.3407
_cell_angle_alpha 90.00
_cell_angle_beta 90.00
_cell_angle_gamma 90.00
_symmetry_space_group_name_H-M 'P 4/m m m'
_symmetry_Int_Tables_number 123
_symmetry_space_group_name_Hall '-P 4 2'
loop_
_atom_site_label
_atom_site_type_symbol
_atom_site_fract_x
_atom_site_fract_y
_atom_site_fract_z
_atom_site_occupancy
Ir1 Ir 0.0000 0.0000 0.0000 1
Pb1 Pb 0.5000 0.5000 0.5000 1
O1 O 0.5000 0.5000 0.0000 1
F1 F 0.0000 0.5000 0.5000 1
```

=====

*b*
IrPbOF2 after structural relaxation. Source: Alexandria via LeMat-Bulk, functional PBE.

Cell and atoms, written as CIF:
```
data_IrPbOF2
_cell_length_a 4.6036
_cell_length_b 4.6036
_cell_length_c 3.8048
_cell_angle_alpha 90.00
_cell_angle_beta 90.00
_cell_angle_gamma 90.00
_symmetry_space_group_name_H-M 'P 4/m m m'
_symmetry_Int_Tables_number 123
_symmetry_space_group_name_Hall '-P 4 2'
loop_
_atom_site_label
_atom_site_type_symbol
_atom_site_fract_x
_atom_site_fract_y
_atom_site_fract_z
_atom_site_occupancy
Ir1 Ir 0.0000 0.0000 0.0000 1
Pb1 Pb 0.5000 0.5000 0.5000 1
O1 O 0.0000 0.0000 0.5000 1
F1 F 0.0000 0.5000 0.0000 1
```

=====

*b* takes first place; second place is 0.857 eV/atom up.

=====

*a*
IrPtOF2 after structural relaxation. Source: Alexandria via LeMat-Bulk, functional PBE.

Cell and atoms, written as CIF:
```
data_IrPtOF2
_cell_length_a 4.3754
_cell_length_b 4.3754
_cell_length_c 3.7010
_cell_angle_alpha 90.00
_cell_angle_beta 90.00
_cell_angle_gamma 90.00
_symmetry_space_group_name_H-M 'P 4/m m m'
_symmetry_Int_Tables_number 123
_symmetry_space_group_name_Hall '-P 4 2'
loop_
_atom_site_label
_atom_site_type_symbol
_atom_site_fract_x
_atom_site_fract_y
_atom_site_fract_z
_atom_site_occupancy
Ir1 Ir 0.0000 0.0000 0.0000 1
Pt1 Pt 0.5000 0.5000 0.5000 1
O1 O 0.0000 0.0000 0.5000 1
F1 F 0.0000 0.5000 0.0000 1
```

=====

*b*
IrPtOF2 after structural relaxation. Source: Alexandria via LeMat-Bulk, functional PBE.

Cell and atoms, written as CIF:
```
data_IrPtOF2
_cell_length_a 4.4705
_cell_length_b 4.4705
_cell_length_c 3.7594
_cell_angle_alpha 90.00
_cell_angle_beta 90.00
_cell_angle_gamma 90.00
_symmetry_space_group_name_H-M 'P 4/m m m'
_symmetry_Int_Tables_number 123
_symmetry_space_group_name_Hall '-P 4 2'
loop_
_atom_site_label
_atom_site_type_symbol
_atom_site_fract_x
_atom_site_fract_y
_atom_site_fract_z
_atom_site_occupancy
Ir1 Ir 0.0000 0.0000 0.0000 1
Pt1 Pt 0.5000 0.5000 0.5000 1
O1 O 0.5000 0.5000 0.0000 1
F1 F 0.0000 0.5000 0.5000 1
```

=====

*a* takes first place; second place is 0.439 eV/atom up.

=====

*a*
IrSOF2 after structural relaxation. Source: Alexandria via LeMat-Bulk, functional PBE.

Cell and atoms, written as CIF:
```
data_IrSOF2
_cell_length_a 4.3886
_cell_length_b 4.3886
_cell_length_c 3.5851
_cell_angle_alpha 90.00
_cell_angle_beta 90.00
_cell_angle_gamma 90.00
_symmetry_space_group_name_H-M 'P 4/m m m'
_symmetry_Int_Tables_number 123
_symmetry_space_group_name_Hall '-P 4 2'
loop_
_atom_site_label
_atom_site_type_symbol
_atom_site_fract_x
_atom_site_fract_y
_atom_site_fract_z
_atom_site_occupancy
Ir1 Ir 0.0000 0.0000 0.0000 1
S1 S 0.5000 0.5000 0.0000 1
O1 O 0.0000 0.0000 0.5000 1
F1 F 0.0000 0.5000 0.5000 1
```

=====

*b*
IrSOF2 after structural relaxation. Source: Alexandria via LeMat-Bulk, functional PBE.

Cell and atoms, written as CIF:
```
data_IrSOF2
_cell_length_a 4.3735
_cell_length_b 4.3735
_cell_length_c 3.7275
_cell_angle_alpha 90.00
_cell_angle_beta 90.00
_cell_angle_gamma 90.00
_symmetry_space_group_name_H-M 'P 4/m m m'
_symmetry_Int_Tables_number 123
_symmetry_space_group_name_Hall '-P 4 2'
loop_
_atom_site_label
_atom_site_type_symbol
_atom_site_fract_x
_atom_site_fract_y
_atom_site_fract_z
_atom_site_occupancy
Ir1 Ir 0.0000 0.0000 0.0000 1
S1 S 0.5000 0.5000 0.5000 1
O1 O 0.0000 0.0000 0.5000 1
F1 F 0.0000 0.5000 0.0000 1
```

=====

*b* takes first place; second place is 0.554 eV/atom up.

=====

*a*
ScIrOF2 after structural relaxation. Source: Alexandria via LeMat-Bulk, functional PBE.

Cell and atoms, written as CIF:
```
data_ScIrOF2
_cell_length_a 4.5522
_cell_length_b 4.5522
_cell_length_c 3.7062
_cell_angle_alpha 90.00
_cell_angle_beta 90.00
_cell_angle_gamma 90.00
_symmetry_space_group_name_H-M 'P 4/m m m'
_symmetry_Int_Tables_number 123
_symmetry_space_group_name_Hall '-P 4 2'
loop_
_atom_site_label
_atom_site_type_symbol
_atom_site_fract_x
_atom_site_fract_y
_atom_site_fract_z
_atom_site_occupancy
Sc1 Sc 0.0000 0.0000 0.0000 1
Ir1 Ir 0.5000 0.5000 0.5000 1
O1 O 0.5000 0.5000 0.0000 1
F1 F 0.0000 0.5000 0.5000 1
```

=====

*b*
ScIrOF2 after structural relaxation. Source: Alexandria via LeMat-Bulk, functional PBE.

Cell and atoms, written as CIF:
```
data_ScIrOF2
_cell_length_a 4.0383
_cell_length_b 4.0383
_cell_length_c 4.2634
_cell_angle_alpha 90.00
_cell_angle_beta 90.00
_cell_angle_gamma 90.00
_symmetry_space_group_name_H-M 'P 4/m m m'
_symmetry_Int_Tables_number 123
_symmetry_space_group_name_Hall '-P 4 2'
loop_
_atom_site_label
_atom_site_type_symbol
_atom_site_fract_x
_atom_site_fract_y
_atom_site_fract_z
_atom_site_occupancy
Sc1 Sc 0.0000 0.0000 0.0000 1
Ir1 Ir 0.5000 0.5000 0.5000 1
O1 O 0.0000 0.0000 0.5000 1
F1 F 0.0000 0.5000 0.0000 1
```

=====

*b* takes first place; second place is 0.610 eV/atom up.

=====

*a*
TaIrOF2 after structural relaxation. Source: Alexandria via LeMat-Bulk, functional PBE.

Cell and atoms, written as CIF:
```
data_TaIrOF2
_cell_length_a 4.3497
_cell_length_b 4.3497
_cell_length_c 3.5719
_cell_angle_alpha 90.00
_cell_angle_beta 90.00
_cell_angle_gamma 90.00
_symmetry_space_group_name_H-M 'P 4/m m m'
_symmetry_Int_Tables_number 123
_symmetry_space_group_name_Hall '-P 4 2'
loop_
_atom_site_label
_atom_site_type_symbol
_atom_site_fract_x
_atom_site_fract_y
_atom_site_fract_z
_atom_site_occupancy
Ta1 Ta 0.0000 0.0000 0.0000 1
Ir1 Ir 0.5000 0.5000 0.0000 1
O1 O 0.5000 0.5000 0.5000 1
F1 F 0.0000 0.5000 0.5000 1
```

=====

*b*
TaIrOF2 after structural relaxation. Source: Alexandria via LeMat-Bulk, functional PBE.

Cell and atoms, written as CIF:
```
data_TaIrOF2
_cell_length_a 4.6053
_cell_length_b 4.6053
_cell_length_c 3.6413
_cell_angle_alpha 90.00
_cell_angle_beta 90.00
_cell_angle_gamma 90.00
_symmetry_space_group_name_H-M 'P 4/m m m'
_symmetry_Int_Tables_number 123
_symmetry_space_group_name_Hall '-P 4 2'
loop_
_atom_site_label
_atom_site_type_symbol
_atom_site_fract_x
_atom_site_fract_y
_atom_site_fract_z
_atom_site_occupancy
Ta1 Ta 0.0000 0.0000 0.0000 1
Ir1 Ir 0.5000 0.5000 0.5000 1
O1 O 0.5000 0.5000 0.0000 1
F1 F 0.0000 0.5000 0.5000 1
```

=====

*a* takes first place; second place is 0.222 eV/atom up.

=====

*a*
TiIrOF2 after structural relaxation. Source: Alexandria via LeMat-Bulk, functional PBE.

Cell and atoms, written as CIF:
```
data_TiIrOF2
_cell_length_a 4.5006
_cell_length_b 4.5006
_cell_length_c 3.7361
_cell_angle_alpha 90.00
_cell_angle_beta 90.00
_cell_angle_gamma 90.00
_symmetry_space_group_name_H-M 'P 4/m m m'
_symmetry_Int_Tables_number 123
_symmetry_space_group_name_Hall '-P 4 2'
loop_
_atom_site_label
_atom_site_type_symbol
_atom_site_fract_x
_atom_site_fract_y
_atom_site_fract_z
_atom_site_occupancy
Ti1 Ti 0.0000 0.0000 0.0000 1
Ir1 Ir 0.5000 0.5000 0.5000 1
O1 O 0.5000 0.5000 0.0000 1
F1 F 0.0000 0.5000 0.5000 1
```

=====

*b*
TiIrOF2 after structural relaxation. Source: Alexandria via LeMat-Bulk, functional PBE.

Cell and atoms, written as CIF:
```
data_TiIrOF2
_cell_length_a 4.0414
_cell_length_b 4.0414
_cell_length_c 3.8799
_cell_angle_alpha 90.00
_cell_angle_beta 90.00
_cell_angle_gamma 90.00
_symmetry_space_group_name_H-M 'P 4/m m m'
_symmetry_Int_Tables_number 123
_symmetry_space_group_name_Hall '-P 4 2'
loop_
_atom_site_label
_atom_site_type_symbol
_atom_site_fract_x
_atom_site_fract_y
_atom_site_fract_z
_atom_site_occupancy
Ti1 Ti 0.0000 0.0000 0.0000 1
Ir1 Ir 0.5000 0.5000 0.5000 1
O1 O 0.0000 0.0000 0.5000 1
F1 F 0.0000 0.5000 0.0000 1
```

=====

*b* takes first place; second place is 0.642 eV/atom up.